1.
# BaTlCd2Ag

Crystalline BaTlCd2Ag at its relaxed geometry (PBE, Alexandria via LeMat-Bulk).

The structure in POSCAR format:
```
BaTlCd2Ag
1.0
4.6896 0.0000 0.0000
0.0000 4.8798 0.0000
-2.3448 -2.4399 6.4057
Tl Ba Ag Cd
1 1 1 2
direct
0.1930 0.6930 0.3859 Tl
0.4375 0.4375 0.8750 Ba
0.8313 0.8313 0.6626 Ag
0.0503 0.0503 0.1007 Cd
0.7000 0.2000 0.4000 Cd
```

Calculated values
The energy above the most stable polymorph in this dataset is 0 meV/atom. The value obtained for the energy of formation is -1.2 eV per formula unit. The space-group type is Imm2.

---

2.
# Ba2TlCd6Ag

Crystalline Ba2TlCd6Ag at its relaxed geometry (PBE, Alexandria via LeMat-Bulk).

The structure in POSCAR format:
```
Ba2TlCd6Ag
1.0
7.3093 0.0000 0.0000
3.6547 6.3301 0.0000
3.6547 2.1100 13.2218
Ba Tl Cd Ag
4 2 12 2
direct
0.7215 0.7215 0.8354 Ba
0.1062 0.1062 0.6813 Ba
0.2785 0.2785 0.1646 Ba
0.8938 0.8938 0.3187 Ba
0.4246 0.4246 0.7263 Tl
0.5754 0.5754 0.2737 Tl
0.6330 0.2239 0.9191 Cd
0.6727 0.6727 0.5823 Cd
0.3670 0.7761 0.0809 Cd
0.7761 0.3670 0.0809 Cd
0.7761 0.7761 0.0809 Cd
0.2239 0.2239 0.9191 Cd
0.9277 0.3273 0.4177 Cd
0.3273 0.9277 0.4177 Cd
0.6727 0.0723 0.5823 Cd
0.2239 0.6330 0.9191 Cd
0.3273 0.3273 0.4177 Cd
0.0723 0.6727 0.5823 Cd
0.0000 0.0000 0.0000 Ag
0.5000 0.5000 0.5000 Ag
```

Calculated values
The value obtained for the energy of formation is -1.7 eV per formula unit. The space-group type is R-3m.

---

3.
# BaTlCd2Ag4

Crystalline BaTlCd2Ag4 at its relaxed geometry (PBE, Alexandria via LeMat-Bulk).

The structure in POSCAR format:
```
BaTlCd2Ag4
1.0
-2.7898 2.7563 2.8700
0.5356 -0.1988 4.8260
6.1251 8.2882 2.1085
Ag Cd Tl Ba
4 2 1 1
direct
0.4047 0.4047 0.7860 Ag
0.5953 0.5953 0.2140 Ag
0.1162 0.1162 0.6515 Ag
0.8838 0.8838 0.3485 Ag
0.7526 0.7526 0.7423 Cd
0.2474 0.2474 0.2577 Cd
0.5000 0.5000 0.5000 Tl
0.0000 0.0000 0.0000 Ba
```

Calculated values
The value obtained for the energy of formation is -0.5 eV per formula unit. The space-group type is R-3m.

---

4.
# BaVCdAg2

Crystalline BaVCdAg2 at its relaxed geometry (PBE, Alexandria via LeMat-Bulk).

The structure in POSCAR format:
```
BaVCdAg2
1.0
5.2610 0.0000 0.0000
0.0000 5.8734 0.0000
0.0000 0.0000 5.2610
V Ag Cd Ba
1 2 1 1
direct
0.0000 0.0000 0.0000 V
0.0000 0.0000 0.5000 Ag
0.5000 0.0000 0.0000 Ag
0.5000 0.5000 0.5000 Cd
0.0000 0.5000 0.0000 Ba
```

Calculated values
The value obtained for the energy of formation is 3.7 eV per formula unit. The space-group type is P4/mmm.

---

5.
# Ba2Zn4CdAg3

Crystalline Ba2Zn4CdAg3 at its relaxed geometry (PBE, Alexandria via LeMat-Bulk).

The structure in POSCAR format:
```
Ba2Zn4CdAg3
1.0
-2.2179 -0.4417 -4.0195
-2.6914 -3.2602 1.8433
-7.5263 8.0604 3.2673
Zn Ag Ba Cd
4 3 2 1
direct
0.0000 0.0000 0.0000 Zn
0.5000 0.0000 0.6366 Zn
0.5000 0.5000 0.0000 Zn
0.0000 0.5000 0.3634 Zn
0.0000 0.0000 0.5000 Ag
0.0000 0.5000 0.1248 Ag
0.5000 0.0000 0.8752 Ag
0.5000 0.0000 0.2429 Ba
0.0000 0.5000 0.7571 Ba
0.5000 0.5000 0.5000 Cd
```

Calculated values
The value obtained for the energy of formation is -2.0 eV per formula unit. The space-group type is P-4m2.

---

6.
# BaZn2CdAg

Crystalline BaZn2CdAg at its relaxed geometry (PBE, Alexandria via LeMat-Bulk).

The structure in POSCAR format:
```
BaZn2CdAg
1.0
-3.3446 -0.8814 3.0958
2.3363 -3.7357 1.4605
3.2491 5.5449 1.6088
Ba Cd Ag Zn
1 1 1 2
direct
0.0000 0.0000 0.0000 Ba
0.2500 0.7500 0.5000 Cd
0.7500 0.2500 0.5000 Ag
0.6159 0.6159 0.2317 Zn
0.3841 0.3841 0.7683 Zn
```

Calculated values
The energy above the most stable polymorph in this dataset is 0 meV/atom. The value obtained for the energy of formation is -1.0 eV per formula unit. The space-group type is I-4m2.

---

7.
# BaZn2CdAg

Crystalline BaZn2CdAg at its relaxed geometry (PBE, Alexandria via LeMat-Bulk).

The structure in POSCAR format:
```
BaZn2CdAg
1.0
5.0787 0.0000 0.0000
0.0000 5.0787 0.0000
0.0000 0.0000 5.3223
Ag Zn Cd Ba
1 2 1 1
direct
0.0000 0.0000 0.0000 Ag
0.5000 0.0000 0.0000 Zn
0.0000 0.5000 0.0000 Zn
0.0000 0.0000 0.5000 Cd
0.5000 0.5000 0.5000 Ba
```

Calculated values
The energy above the most stable polymorph in this dataset is 151 meV/atom. The value obtained for the energy of formation is -0.3 eV per formula unit. The space-group type is P4/mmm.

---

8.
# Ba2ZnCd3Ag4

Crystalline Ba2ZnCd3Ag4 at its relaxed geometry (PBE, Alexandria via LeMat-Bulk).

The structure in POSCAR format:
```
Ba2ZnCd3Ag4
1.0
5.0245 0.0000 0.0000
0.0000 5.0245 0.0000
0.0000 0.0000 10.6520
Ag Ba Zn Cd
4 2 1 3
direct
0.0000 0.5000 0.3884 Ag
0.5000 0.5000 0.0000 Ag
0.5000 0.0000 0.6116 Ag
0.0000 0.0000 0.0000 Ag
0.5000 0.0000 0.2508 Ba
0.0000 0.5000 0.7492 Ba
0.5000 0.5000 0.5000 Zn
0.0000 0.5000 0.1267 Cd
0.5000 0.0000 0.8733 Cd
0.0000 0.0000 0.5000 Cd
```

Calculated values
The value obtained for the energy of formation is -2.1 eV per formula unit. The space-group type is P-4m2.

---

9.
# BaZnCd2Ag

Crystalline BaZnCd2Ag at its relaxed geometry (PBE, Alexandria via LeMat-Bulk).

The structure in POSCAR format:
```
BaZnCd2Ag
1.0
5.1843 0.0000 0.0000
0.0000 5.1843 0.0000
0.0000 0.0000 5.2069
Ag Cd Ba Zn
1 2 1 1
direct
0.0000 0.0000 0.5000 Ag
0.0000 0.5000 0.0000 Cd
0.5000 0.0000 0.0000 Cd
0.5000 0.5000 0.5000 Ba
0.0000 0.0000 0.0000 Zn
```

Calculated values
The energy above the most stable polymorph in this dataset is 124 meV/atom. The value obtained for the energy of formation is -0.5 eV per formula unit. The space-group type is P4/mmm.

---

10.
# BaZnCd2Ag

Crystalline BaZnCd2Ag at its relaxed geometry (PBE, Alexandria via LeMat-Bulk).

The structure in POSCAR format:
```
BaZnCd2Ag
1.0
-4.5200 -1.4767 -2.4625
2.7958 -1.2168 -4.4020
0.6224 -4.7567 1.7101
Zn Cd Ag Ba
1 2 1 1
direct
0.0000 0.0000 0.5000 Zn
0.5000 0.0000 0.0000 Cd
0.0000 0.5000 0.0000 Cd
0.0000 0.0000 0.0000 Ag
0.5000 0.5000 0.5000 Ba
```

Calculated values
The energy above the most stable polymorph in this dataset is 138 meV/atom. The value obtained for the energy of formation is -0.4 eV per formula unit. The space-group type is P4/mmm.

---

11.
# Ba2Zn4Cd3Ag

Crystalline Ba2Zn4Cd3Ag at its relaxed geometry (PBE, Alexandria via LeMat-Bulk).

The structure in POSCAR format:
```
Ba2Zn4Cd3Ag
1.0
4.7162 0.0000 0.0000
0.0000 4.7162 0.0000
0.0000 0.0000 11.5192
Zn Cd Ba Ag
4 3 2 1
direct
0.0000 0.5000 0.3728 Zn
0.0000 0.0000 0.0000 Zn
0.5000 0.5000 0.0000 Zn
0.5000 0.0000 0.6272 Zn
0.0000 0.5000 0.1288 Cd
0.0000 0.0000 0.5000 Cd
0.5000 0.0000 0.8712 Cd
0.5000 0.0000 0.2485 Ba
0.0000 0.5000 0.7515 Ba
0.5000 0.5000 0.5000 Ag
```

Calculated values
The value obtained for the energy of formation is -1.9 eV per formula unit. The space-group type is P-4m2.

---

12.
# Ba2ZnCd12Ag3

Crystalline Ba2ZnCd12Ag3 at its relaxed geometry (PBE, Alexandria via LeMat-Bulk).

The structure in POSCAR format:
```
Ba2ZnCd12Ag3
1.0
11.2440 2.3795 1.6878
7.6220 8.6021 1.6878
7.6220 4.4366 7.5604
Cd Ba Ag Zn
12 2 3 1
direct
0.8190 0.4133 0.4133 Cd
0.3626 0.9179 0.9179 Cd
0.5867 0.1810 0.5867 Cd
0.9179 0.9179 0.3626 Cd
0.6374 0.0821 0.0821 Cd
0.9179 0.3626 0.9179 Cd
0.0821 0.6374 0.0821 Cd
0.0821 0.0821 0.6374 Cd
0.5867 0.5867 0.1810 Cd
0.4133 0.4133 0.8190 Cd
0.4133 0.8190 0.4133 Cd
0.1810 0.5867 0.5867 Cd
0.6461 0.6461 0.6461 Ba
0.3539 0.3539 0.3539 Ba
0.5000 0.0000 0.0000 Ag
0.0000 0.0000 0.5000 Ag
0.0000 0.5000 0.0000 Ag
0.0000 0.0000 0.0000 Zn
```

Calculated values
The value obtained for the energy of formation is -0.3 eV per formula unit. The space-group type is R-3m.